! PBE LiMo2Se, optimized geometry; values from VASP
! Density, g cm⁻³: 7.43
! Uncorrected formation energy, eV per atom: 0.413
! SG: No. 12
&SYSTEM
  ibrav = 0, nat = 4, ntyp = 3
/
ATOMIC_SPECIES
Li 6.94 Li.upf
Mo 95.94 Mo.upf
Se 78.96 Se.upf
CELL_PARAMETERS angstrom
-1.2849 -4.3666 -2.2262
4.0885 2.4070 -1.9594
2.0764 -1.7221 0.8902
ATOMIC_POSITIONS angstrom
Li 1.4018 -0.9798 -2.0928
Mo 0.0000 0.0000 0.0000
Mo 0.3957 -3.0443 -0.6680
Se 3.0824 0.3425 -0.5346